Record 1
Entry from the Alexandria database: crystalline MgZr3Tl3Te8 at its relaxed geometry (PBE).

Output
energy relative to the elements, uncorrected = -0.68 eV per atom
final energy = -69.7 eV for the cell shown

Unit cell a=9.598 b=9.598 c=9.598 alpha=51.31 beta=51.31 gamma=51.31
Atoms (fractional coordinates):
Mg: 0.000 0.000 0.000
Zr: 0.000 0.500 0.500
Zr: 0.500 0.000 0.500
Zr: 0.500 0.500 0.000
Tl: 0.000 0.000 0.500
Tl: 0.000 0.500 0.000
Tl: 0.500 0.000 0.000
Te: 0.238 0.238 0.730
Te: 0.238 0.730 0.238
Te: 0.264 0.264 0.264
Te: 0.270 0.762 0.762
Te: 0.730 0.238 0.238
Te: 0.736 0.736 0.736
Te: 0.762 0.270 0.762
Te: 0.762 0.762 0.270

=====

Record 2
Entry from the Alexandria database: crystalline TmMgTe2 at its relaxed geometry (PBE).

Output
energy relative to the elements, uncorrected = -0.98 eV per atom
final energy = -16.3 eV for the cell shown
ΔE to the lowest computed polymorph = 0 kJ/mol of formula units

Unit cell a=7.779 b=7.779 c=7.779 alpha=31.05 beta=31.05 gamma=31.05
Atoms (fractional coordinates):
Tm: 0.000 0.000 0.000
Mg: 0.165 0.165 0.165
Te: 0.577 0.577 0.577
Te: 0.753 0.753 0.753

=====

Record 3
Entry from the Alexandria database: crystalline Tm3MgTe at its relaxed geometry (PBE).

Output
energy relative to the elements, uncorrected = -0.44 eV per atom
final energy = -40.7 eV for the cell shown

Unit cell a=8.405 b=3.801 c=8.786 alpha=90.00 beta=99.63 gamma=90.00
Atoms (fractional coordinates):
Tm: 0.018 0.250 0.174
Tm: 0.328 0.250 0.819
Tm: 0.416 0.250 0.357
Tm: 0.584 0.750 0.643
Tm: 0.672 0.750 0.181
Tm: 0.982 0.750 0.826
Mg: 0.160 0.750 0.514
Mg: 0.840 0.250 0.486
Te: 0.283 0.750 0.088
Te: 0.717 0.250 0.912

=====

Record 4
Entry from the Alexandria database: crystalline TmMgTe2 at its relaxed geometry (PBE).

Output
energy relative to the elements, uncorrected = -0.78 eV per atom
final energy = -46.4 eV for the cell shown
ΔE to the lowest computed polymorph = 79 kJ/mol of formula units

Unit cell a=4.319 b=4.319 c=27.264 alpha=90.00 beta=90.00 gamma=120.00
Atoms (fractional coordinates):
Tm: 0.000 0.671 0.333
Tm: 0.329 0.329 0.000
Tm: 0.671 0.000 0.667
Mg: 0.000 0.664 0.833
Mg: 0.336 0.336 0.500
Mg: 0.664 0.000 0.167
Te: 0.004 0.667 0.730
Te: 0.333 0.338 0.397
Te: 0.338 0.333 0.603
Te: 0.662 0.996 0.064
Te: 0.667 0.004 0.270
Te: 0.996 0.662 0.936

=====

Record 5
Entry from the Alexandria database: crystalline TmMgTe2 at its relaxed geometry (PBE).

Output
energy relative to the elements, uncorrected = -0.97 eV per atom
final energy = -16.2 eV for the cell shown
ΔE to the lowest computed polymorph = 5 kJ/mol of formula units

Unit cell a=7.823 b=7.823 c=7.823 alpha=30.82 beta=30.82 gamma=30.82
Atoms (fractional coordinates):
Tm: 0.000 0.000 0.000
Mg: 0.500 0.500 0.500
Te: 0.247 0.247 0.247
Te: 0.753 0.753 0.753

=====

Record 6
Entry from the Alexandria database: crystalline Tm3MgTe6 at its relaxed geometry (PBE).

Output
energy relative to the elements, uncorrected = -1.09 eV per atom
final energy = -89.5 eV for the cell shown

Unit cell a=9.319 b=9.319 c=7.476 alpha=90.00 beta=90.00 gamma=99.58
Atoms (fractional coordinates):
Tm: 0.096 0.904 0.500
Tm: 0.226 0.422 0.403
Tm: 0.422 0.226 0.903
Tm: 0.578 0.774 0.403
Tm: 0.774 0.578 0.903
Tm: 0.904 0.096 0.000
Mg: 0.287 0.713 0.875
Mg: 0.713 0.287 0.375
Te: 0.044 0.598 0.668
Te: 0.127 0.205 0.704
Te: 0.205 0.127 0.204
Te: 0.271 0.729 0.246
Te: 0.402 0.956 0.668
Te: 0.464 0.536 0.701
Te: 0.536 0.464 0.201
Te: 0.598 0.044 0.168
Te: 0.729 0.271 0.746
Te: 0.795 0.873 0.704
Te: 0.873 0.795 0.204
Te: 0.956 0.402 0.168

=====

Record 7
Entry from the Alexandria database: crystalline Tm2MgTe4 at its relaxed geometry (PBE).

Output
energy relative to the elements, uncorrected = -1.22 eV per atom
final energy = -31.6 eV for the cell shown

Unit cell a=8.182 b=8.182 c=7.471 alpha=116.80 beta=116.80 gamma=30.40
Atoms (fractional coordinates):
Tm: 0.240 0.240 0.225
Tm: 0.760 0.760 0.775
Mg: 0.500 0.500 0.500
Te: 0.129 0.129 0.470
Te: 0.383 0.383 0.058
Te: 0.617 0.617 0.942
Te: 0.871 0.871 0.530

=====

Record 8
Entry from the Alexandria database: crystalline TmMgTe3 at its relaxed geometry (PBE).

Output
energy relative to the elements, uncorrected = -0.90 eV per atom
final energy = -40.0 eV for the cell shown

Unit cell a=6.552 b=4.463 c=12.449 alpha=90.00 beta=102.81 gamma=90.00
Atoms (fractional coordinates):
Tm: 0.012 0.250 0.338
Tm: 0.988 0.750 0.662
Mg: 0.494 0.250 0.884
Mg: 0.506 0.750 0.116
Te: 0.238 0.250 0.581
Te: 0.240 0.750 0.898
Te: 0.283 0.750 0.282
Te: 0.717 0.250 0.718
Te: 0.760 0.250 0.102
Te: 0.762 0.750 0.419

=====

Record 9
Entry from the Alexandria database: crystalline Tm3MgTe4 at its relaxed geometry (PBE).

Output
energy relative to the elements, uncorrected = -0.95 eV per atom
final energy = -70.4 eV for the cell shown

Unit cell a=6.043 b=9.813 c=8.756 alpha=90.00 beta=90.00 gamma=90.00
Atoms (fractional coordinates):
Tm: 0.250 0.053 0.144
Tm: 0.250 0.250 0.779
Tm: 0.250 0.447 0.144
Tm: 0.750 0.553 0.856
Tm: 0.750 0.750 0.221
Tm: 0.750 0.947 0.856
Mg: 0.250 0.750 0.578
Mg: 0.750 0.250 0.422
Te: 0.250 0.250 0.420
Te: 0.250 0.553 0.820
Te: 0.250 0.750 0.253
Te: 0.250 0.947 0.820
Te: 0.750 0.053 0.180
Te: 0.750 0.250 0.747
Te: 0.750 0.447 0.180
Te: 0.750 0.750 0.580

=====

Record 10
Entry from the Alexandria database: crystalline TmMg2Te3 at its relaxed geometry (PBE).

Output
energy relative to the elements, uncorrected = -0.81 eV per atom
final energy = -43.9 eV for the cell shown

Unit cell a=8.349 b=4.290 c=12.125 alpha=90.00 beta=94.91 gamma=90.00
Atoms (fractional coordinates):
Tm: 0.158 0.250 0.349
Tm: 0.842 0.750 0.651
Mg: 0.085 0.750 0.087
Mg: 0.428 0.250 0.576
Mg: 0.572 0.750 0.424
Mg: 0.915 0.250 0.913
Te: 0.105 0.750 0.853
Te: 0.175 0.750 0.539
Te: 0.353 0.750 0.236
Te: 0.647 0.250 0.764
Te: 0.825 0.250 0.461
Te: 0.895 0.250 0.147

=====

Record 11
Entry from the Alexandria database: crystalline Y3Tm3MgTe8 at its relaxed geometry (PBE).

Output
energy relative to the elements, uncorrected = -1.26 eV per atom
final energy = -78.4 eV for the cell shown

Unit cell a=8.663 b=8.663 c=8.663 alpha=59.75 beta=59.75 gamma=59.75
Atoms (fractional coordinates):
Y: 0.000 0.500 0.500
Y: 0.500 0.000 0.500
Y: 0.500 0.500 0.000
Tm: 0.000 0.000 0.500
Tm: 0.000 0.500 0.000
Tm: 0.500 0.000 0.000
Mg: 0.500 0.500 0.500
Te: 0.248 0.248 0.248
Te: 0.249 0.747 0.747
Te: 0.253 0.253 0.751
Te: 0.253 0.751 0.253
Te: 0.747 0.249 0.747
Te: 0.747 0.747 0.249
Te: 0.751 0.253 0.253
Te: 0.752 0.752 0.752

=====

Record 12
Entry from the Alexandria database: crystalline MgUTe2 at its relaxed geometry (PBE).

Output
energy relative to the elements, uncorrected = -0.49 eV per atom
final energy = -21.1 eV for the cell shown
ΔE to the lowest computed polymorph = 0 kJ/mol of formula units

Unit cell a=8.348 b=8.348 c=8.348 alpha=28.05 beta=28.05 gamma=28.05
Atoms (fractional coordinates):
Mg: 0.000 0.000 0.000
U: 0.166 0.166 0.166
Te: 0.587 0.587 0.587
Te: 0.746 0.746 0.746